(1)
## CsTeOF2 (PBE)

Data for CsTeOF2 after structural relaxation.

The density of states at the Fermi level comes out at 3.594 states/eV/f.u. The calculation puts the uncorrected formation energy at -0.2368 eV per atom. As for the energy above the most stable polymorph in this dataset: 140.82 kJ/mol of atoms.

POSCAR file:
```
CsTeOF2
1.0
-0.733 -4.549 -2.591
2.399 -2.618 3.917
-3.857 -0.525 2.011
Cs Te F O
1 1 2 1
direct
0.000 0.000 0.000
0.500 0.500 0.500
0.000 0.500 0.000
0.500 0.000 0.000
0.000 0.000 0.500
```

=====

(2)
## LaBeGa2Au4 (PBE)

Data for LaBeGa2Au4 after structural relaxation.

The density of states at the Fermi level comes out at 1.895 states/eV/f.u. Its formation energy is -0.416 eV/atom.

POSCAR file:
```
LaBeGa2Au4
1.0
4.464 0.000 0.000
2.232 3.866 0.000
2.232 1.289 8.849
Au Ga Be La
4 2 1 1
direct
0.593 0.593 0.221
0.858 0.858 0.426
0.407 0.407 0.779
0.142 0.142 0.574
0.751 0.751 0.748
0.249 0.249 0.252
0.500 0.500 0.500
0.000 0.000 0.000
```

=====

(3)
## AcBN (PBE)

Data for AcBN after structural relaxation.

The density of states at the Fermi level comes out at 1.580 states/eV/f.u. The calculation puts the uncorrected formation energy at -0.7764 eV per atom. As for the energy above the most stable polymorph in this dataset: 14.29 kJ/mol of atoms.

POSCAR file:
```
AcBN
1.0
-2.473 4.223 1.057
0.199 -4.402 6.192
5.628 2.837 1.835
Ac N B
4 4 4
direct
0.126 0.253 0.500
0.374 0.747 0.000
0.626 0.253 0.000
0.874 0.747 0.500
0.750 0.000 0.250
0.250 0.000 0.250
0.250 0.000 0.750
0.750 0.000 0.750
0.500 0.000 0.632
0.000 0.000 0.132
0.000 0.000 0.868
0.500 0.000 0.368
```

=====

(4)
## Na2SmAlSe4 (PBE)

Data for Na2SmAlSe4 after structural relaxation.

The calculation puts the uncorrected formation energy at -1.2684 eV per atom.

POSCAR file:
```
Na2SmAlSe4
1.0
-2.117 4.552 6.503
-5.164 -5.920 2.404
8.112 -1.711 -1.659
Na Se Al Sm
4 8 2 2
direct
0.500 0.500 0.000
0.500 0.000 0.500
0.000 0.000 0.500
0.500 0.000 0.000
0.749 0.750 0.540
0.265 0.734 0.500
0.766 0.235 0.000
0.234 0.765 0.000
0.251 0.250 0.460
0.735 0.266 0.500
0.750 0.751 0.960
0.250 0.249 0.040
0.000 0.000 0.000
0.500 0.500 0.500
0.000 0.500 0.000
0.000 0.500 0.500
```

=====

(5)
## CsScTeI2 (PBE)

Data for CsScTeI2 after structural relaxation.

The calculation puts the uncorrected formation energy at -1.2193 eV per atom. As for the energy above the most stable polymorph in this dataset: 0.00 kJ/mol of atoms.

POSCAR file:
```
CsScTeI2
1.0
6.004 0.000 0.000
0.000 6.004 0.000
0.000 0.000 5.605
Te Sc I Cs
1 1 2 1
direct
0.000 0.000 0.500
0.000 0.000 0.000
0.500 0.000 0.000
0.000 0.500 0.000
0.500 0.500 0.500
```

=====

(6)
## PmHo4Ag (PBE)

Data for PmHo4Ag after structural relaxation.

The density of states at the Fermi level comes out at 8.208 states/eV/f.u. Its formation energy is 0.138 eV/atom. As for the energy above the most stable polymorph in this dataset: 20.86 kJ/mol of atoms.

POSCAR file:
```
PmHo4Ag
1.0
5.404 0.000 0.000
0.000 8.880 0.000
-2.702 0.000 7.676
Ho Pm Ag
8 2 2
direct
0.268 0.000 0.537
0.906 0.209 0.812
0.732 0.500 0.463
0.333 0.639 0.665
0.094 0.709 0.188
0.667 0.139 0.335
0.517 0.451 0.034
0.483 0.951 0.966
0.868 0.827 0.737
0.132 0.327 0.263
0.668 0.807 0.337
0.332 0.307 0.663
```

=====

(7)
## H2PbBr (PBE)

Data for H2PbBr after structural relaxation.

The density of states at the Fermi level comes out at 2.277 states/eV/f.u. As for the energy above the most stable polymorph in this dataset: 36.55 kJ/mol of atoms.

POSCAR file:
```
H2PbBr
1.0
0.000 3.189 3.189
3.189 0.000 3.189
3.189 3.189 0.000
Pb Br H
1 1 2
direct
0.500 0.500 0.500
0.000 0.000 0.000
0.250 0.250 0.250
0.750 0.750 0.750
```

=====

(8)
## La12TlGe5 (PBE)

Data for La12TlGe5 after structural relaxation.

The density of states at the Fermi level comes out at 18.709 states/eV/f.u. Its formation energy is -0.553 eV/atom.

POSCAR file:
```
La12TlGe5
1.0
8.390 -0.024 -3.318
-4.334 7.485 -2.567
-0.114 0.024 9.021
Ge La Tl
5 12 1
direct
0.500 0.118 0.618
0.000 0.000 0.000
0.629 0.629 0.000
0.500 0.882 0.382
0.371 0.371 0.000
0.198 0.435 0.237
0.911 0.178 0.733
0.708 0.678 0.385
0.292 0.322 0.615
0.198 0.962 0.763
0.555 0.822 0.733
0.292 0.678 0.970
0.089 0.822 0.267
0.802 0.038 0.237
0.445 0.178 0.267
0.708 0.322 0.030
0.802 0.565 0.763
0.000 0.500 0.500
```

=====

(9)
## SbCl5 (PBE)

Data for SbCl5 after structural relaxation.

The density of states at the Fermi level comes out at 1.817 states/eV/f.u. The calculation puts the uncorrected formation energy at -0.4620 eV per atom.

POSCAR file:
```
SbCl5
1.0
-9.526 -1.570 5.051
7.933 -1.703 -7.273
2.324 -3.390 3.329
Cl Sb
5 1
direct
0.475 0.525 0.500
0.056 0.944 0.000
0.789 0.211 0.000
0.320 0.680 0.000
0.636 0.364 0.500
0.056 0.944 0.500
```

=====

(10)
## Be2SBr (PBE)

Data for Be2SBr after structural relaxation.

The density of states at the Fermi level comes out at 0.000 states/eV/f.u. The calculation puts the uncorrected formation energy at -0.5672 eV per atom. As for the energy above the most stable polymorph in this dataset: 13.27 kJ/mol of atoms.

POSCAR file:
```
Be2SBr
1.0
-1.520 -0.417 -4.291
1.986 -5.215 -0.095
-7.351 -2.148 3.528
Be Br S
4 2 2
direct
0.043 0.048 0.847
0.571 0.997 0.771
0.905 0.045 0.606
0.207 0.493 0.864
0.934 0.341 0.027
0.771 0.897 0.387
0.359 0.823 0.930
0.285 0.259 0.675
```

=====

(11)
## TbAl2 (PBE)

Data for TbAl2 after structural relaxation.

The density of states at the Fermi level comes out at 2.402 states/eV/f.u. Its formation energy is -0.527 eV/atom.

POSCAR file:
```
TbAl2
1.0
-0.801 4.549 -3.130
-1.115 -0.519 -5.442
-5.096 1.196 -1.931
Al Tb
4 2
direct
0.375 0.375 0.875
0.375 0.875 0.375
0.375 0.375 0.375
0.875 0.375 0.375
0.000 0.000 0.000
0.750 0.750 0.750
```

=====

(12)
## K2SrLa (PBE)

Data for K2SrLa after structural relaxation.

The density of states at the Fermi level comes out at 8.959 states/eV/f.u. Its formation energy is 0.462 eV/atom. As for the energy above the most stable polymorph in this dataset: 25.89 kJ/mol of atoms.

POSCAR file:
```
K2SrLa
1.0
6.767 0.000 0.000
3.383 5.860 0.000
3.383 1.953 5.525
Sr K La
1 2 1
direct
0.250 0.250 0.250
0.000 0.000 0.000
0.750 0.750 0.750
0.500 0.500 0.500
```

=====

(13)
## KReSbI2 (PBE)

Data for KReSbI2 after structural relaxation.

The density of states at the Fermi level comes out at 2.761 states/eV/f.u. The calculation puts the uncorrected formation energy at 0.1527 eV per atom. As for the energy above the most stable polymorph in this dataset: 0.00 kJ/mol of atoms.

POSCAR file:
```
KReSbI2
1.0
5.915 0.000 0.000
0.000 5.915 0.000
0.000 0.000 5.107
Re Sb K I
1 1 1 2
direct
0.000 0.000 0.000
0.000 0.000 0.500
0.500 0.500 0.500
0.000 0.500 0.000
0.500 0.000 0.000
```

=====

(14)
## TmCdCu4 (PBE)

Data for TmCdCu4 after structural relaxation.

The density of states at the Fermi level comes out at 3.405 states/eV/f.u. Its formation energy is -0.256 eV/atom.

POSCAR file:
```
TmCdCu4
1.0
-3.464 -2.468 2.783
-1.758 -4.511 -1.547
1.295 -4.228 2.506
Tm Cu Cd
1 4 1
direct
0.250 0.250 0.250
0.625 0.625 0.124
0.625 0.124 0.625
0.625 0.625 0.625
0.124 0.625 0.625
0.000 0.000 0.000
```

=====

(15)
## PrY4Er5 (PBE)

Data for PrY4Er5 after structural relaxation.

The density of states at the Fermi level comes out at 13.023 states/eV/f.u. Its formation energy is 0.023 eV/atom. As for the energy above the most stable polymorph in this dataset: 0.00 kJ/mol of atoms.

POSCAR file:
```
PrY4Er5
1.0
-3.172 0.081 1.585
-2.550 -4.536 -4.829
8.782 -8.664 6.108
Y Er Pr
4 5 1
direct
0.694 0.201 0.796
0.306 0.799 0.204
0.695 0.697 0.797
0.305 0.303 0.203
0.896 0.899 0.597
0.896 0.400 0.597
0.500 0.500 0.000
0.104 0.600 0.403
0.104 0.101 0.403
0.500 0.000 0.000
```

=====

(16)
## TaCu2HW (PBE)

Data for TaCu2HW after structural relaxation.

The density of states at the Fermi level comes out at 4.329 states/eV/f.u. Its electronic total energy is -5.19 eV/atom.

POSCAR file:
```
TaCu2HW
1.0
-3.667 0.877 2.916
0.942 -4.029 2.396
2.896 2.412 2.917
Ta Cu H W
1 2 1 1
direct
0.000 0.500 0.000
0.500 0.000 0.000
0.000 0.000 0.500
0.500 0.500 0.500
0.000 0.000 0.000
```

=====

(17)
## TbSi3Pt5 (PBE)

Data for TbSi3Pt5 after structural relaxation.

The density of states at the Fermi level comes out at 3.307 states/eV/f.u. The calculation puts the uncorrected formation energy at -0.8336 eV per atom.

POSCAR file:
```
TbSi3Pt5
1.0
3.859 0.000 0.000
-1.930 6.248 0.000
0.000 0.000 12.925
Si Pt Tb
6 10 2
direct
0.618 0.235 0.464
0.382 0.765 0.964
0.618 0.235 0.036
0.382 0.765 0.536
0.888 0.775 0.250
0.112 0.225 0.750
0.208 0.415 0.914
0.000 0.000 0.500
0.540 0.079 0.648
0.460 0.921 0.352
0.208 0.415 0.586
0.792 0.585 0.414
0.460 0.921 0.148
0.000 0.000 0.000
0.540 0.079 0.852
0.792 0.585 0.086
0.845 0.691 0.750
0.155 0.309 0.250
```

=====

(18)
## KSeS (PBE)

Data for KSeS after structural relaxation.

The calculation puts the uncorrected formation energy at -0.6286 eV per atom. As for the energy above the most stable polymorph in this dataset: 0.00 kJ/mol of atoms.

POSCAR file:
```
KSeS
1.0
5.329 -0.464 -0.891
-2.483 4.910 -1.057
1.368 0.181 7.632
K S Se
2 2 2
direct
0.171 0.031 0.170
0.711 0.129 0.759
0.348 0.380 0.636
0.573 0.803 0.315
0.691 0.573 0.467
0.471 0.589 0.968
```

=====

(19)
## AlInS2N (PBE)

Data for AlInS2N after structural relaxation.

The density of states at the Fermi level comes out at 3.278 states/eV/f.u. The calculation puts the uncorrected formation energy at 0.8682 eV per atom. As for the energy above the most stable polymorph in this dataset: 76.53 kJ/mol of atoms.

POSCAR file:
```
AlInS2N
1.0
5.136 0.000 0.000
0.000 5.136 0.000
0.000 0.000 4.134
S In N Al
2 1 1 1
direct
0.500 0.000 0.000
0.000 0.500 0.000
0.000 0.000 0.000
0.000 0.000 0.500
0.500 0.500 0.500
```

=====

(20)
## NaAcAsP (PBE)

Data for NaAcAsP after structural relaxation.

The density of states at the Fermi level comes out at 4.253 states/eV/f.u. Its formation energy is -0.592 eV/atom.

POSCAR file:
```
NaAcAsP
1.0
-0.853 5.140 0.355
-3.858 2.202 -2.745
-4.259 1.777 2.445
Ac P As Na
1 1 1 1
direct
0.750 0.750 0.750
0.500 0.500 0.500
0.000 0.000 0.000
0.250 0.250 0.250
```